(1)
! NaSrAc2 PBE relaxed; values from VASP
! E_form: 0.73 eV per formula unit
&SYSTEM
  ibrav = 0, nat = 4, ntyp = 3
/
ATOMIC_SPECIES
Sr 87.62 Sr.upf
Ac 227.00 Ac.upf
Na 22.99 Na.upf
ATOMIC_POSITIONS crystal
Sr 0.500 0.500 0.500
Ac 0.000 0.000 0.762
Ac 0.000 0.000 0.238
Na 0.500 0.500 0.000
CELL_PARAMETERS angstrom
-3.210 0.588 -2.156
-1.338 -3.528 1.030
-5.423 4.797 9.383

(2)
! Ce5NpSe8 PBE relaxed; values from VASP
! ΔE_f (raw): -40.0 kcal/mol of atoms
&SYSTEM
  ibrav = 0, nat = 14, ntyp = 3
/
ATOMIC_SPECIES
Se 78.96 Se.upf
Np 237.00 Np.upf
Ce 140.12 Ce.upf
ATOMIC_POSITIONS crystal
Se 0.276 0.251 0.378
Se 0.622 0.898 0.873
Se 0.624 0.403 0.875
Se 0.779 0.251 0.376
Se 0.975 0.102 0.724
Se 0.127 0.749 0.025
Se 0.125 0.749 0.528
Se 0.472 0.597 0.221
Np 0.250 0.500 0.750
Ce 0.001 0.376 0.126
Ce 0.375 0.125 0.999
Ce 0.750 0.624 0.625
Ce 0.500 0.000 0.500
Ce 0.874 0.875 0.250
CELL_PARAMETERS angstrom
7.258 0.000 -2.528
-3.606 6.278 -2.578
-0.046 0.000 7.685

(3)
! Sm3OsCl3 PBE relaxed; values from VASP
! ΔE_f (raw): -32.5 kcal/mol of atoms
&SYSTEM
  ibrav = 0, nat = 14, ntyp = 3
/
ATOMIC_SPECIES
Cl 35.45 Cl.upf
Sm 150.36 Sm.upf
Os 190.23 Os.upf
ATOMIC_POSITIONS crystal
Cl 0.250 0.884 0.902
Cl 0.750 0.560 0.625
Cl 0.250 0.323 0.843
Cl 0.750 0.677 0.157
Cl 0.750 0.116 0.098
Cl 0.250 0.440 0.375
Sm 0.750 0.154 0.355
Sm 0.250 0.276 0.598
Sm 0.750 0.102 0.831
Sm 0.250 0.898 0.169
Sm 0.250 0.846 0.645
Sm 0.750 0.724 0.402
Os 0.250 0.949 0.404
Os 0.750 0.051 0.596
CELL_PARAMETERS angstrom
-1.715 -3.549 -1.399
5.082 -4.441 5.037
-8.024 0.449 8.700

(4)
! Al4SbAu PBE relaxed; values from VASP
! ΔE_f (raw): 4.2 kcal/mol of atoms
&SYSTEM
  ibrav = 0, nat = 6, ntyp = 3
/
ATOMIC_SPECIES
Al 26.98 Al.upf
Sb 121.76 Sb.upf
Au 196.97 Au.upf
ATOMIC_POSITIONS crystal
Al 0.376 0.873 0.376
Al 0.376 0.376 0.873
Al 0.873 0.376 0.376
Al 0.376 0.376 0.376
Sb 0.000 0.000 0.000
Au 0.750 0.750 0.750
CELL_PARAMETERS angstrom
0.624 -5.315 1.150
-0.555 -1.769 5.150
-4.342 -3.025 1.402

(5)
! Ca2TlRh PBE relaxed; values from VASP
! E_form: -1.19 eV per formula unit
&SYSTEM
  ibrav = 0, nat = 4, ntyp = 3
/
ATOMIC_SPECIES
Ca 40.08 Ca.upf
Rh 102.91 Rh.upf
Tl 204.38 Tl.upf
ATOMIC_POSITIONS crystal
Ca 0.455 0.492 0.597
Ca 0.045 0.903 0.008
Rh 0.750 0.909 0.591
Tl 0.250 0.196 0.304
CELL_PARAMETERS angstrom
4.356 0.001 -0.001
2.174 5.157 -0.089
2.175 1.734 4.857

(6)
! GeTeAsBr2 PBE relaxed; values from VASP
! ΔE_f (raw): 14.2 kcal/mol of atoms
&SYSTEM
  ibrav = 0, nat = 5, ntyp = 4
/
ATOMIC_SPECIES
Br 79.90 Br.upf
As 74.92 As.upf
Te 127.60 Te.upf
Ge 72.64 Ge.upf
ATOMIC_POSITIONS crystal
Br 0.000 0.500 0.000
Br 0.500 0.000 0.000
As 0.000 0.000 0.500
Te 0.000 0.000 0.000
Ge 0.500 0.500 0.500
CELL_PARAMETERS angstrom
5.440 0.000 0.000
0.000 5.440 0.000
0.000 0.000 5.656

(7)
! CsAlGa2Tc PBE relaxed; values from VASP
! E_form: -0.14 eV per formula unit
&SYSTEM
  ibrav = 0, nat = 5, ntyp = 4
/
ATOMIC_SPECIES
Ga 69.72 Ga.upf
Cs 132.91 Cs.upf
Tc 98.00 Tc.upf
Al 26.98 Al.upf
ATOMIC_POSITIONS crystal
Ga 0.000 0.500 0.000
Ga 0.500 0.000 0.000
Cs 0.500 0.500 0.500
Tc 0.000 0.000 0.000
Al 0.000 0.000 0.500
CELL_PARAMETERS angstrom
5.037 0.000 0.000
0.000 5.037 0.000
0.000 0.000 4.969

(8)
! ScCrAu3 PBE relaxed; values from VASP
! E_form: 2.85 eV per formula unit
&SYSTEM
  ibrav = 0, nat = 5, ntyp = 3
/
ATOMIC_SPECIES
Au 196.97 Au.upf
Sc 44.96 Sc.upf
Cr 52.00 Cr.upf
ATOMIC_POSITIONS crystal
Au 0.500 0.000 0.000
Au 0.000 0.500 0.000
Au 0.000 0.000 0.500
Sc 0.500 0.500 0.500
Cr 0.000 0.000 0.000
CELL_PARAMETERS angstrom
-3.061 -0.066 3.694
2.044 -4.026 1.622
3.078 2.609 2.597

(9)
! Ce6Hg PBE relaxed; values from VASP
! E_form: 5.69 eV per formula unit
&SYSTEM
  ibrav = 0, nat = 7, ntyp = 2
/
ATOMIC_SPECIES
Hg 200.59 Hg.upf
Ce 140.12 Ce.upf
ATOMIC_POSITIONS crystal
Hg 0.000 0.000 0.000
Ce 0.250 0.500 0.750
Ce 0.750 0.500 0.250
Ce 0.750 0.250 0.500
Ce 0.500 0.750 0.250
Ce 0.250 0.750 0.500
Ce 0.500 0.250 0.750
CELL_PARAMETERS angstrom
-1.432 -1.976 6.119
-3.927 -3.101 -4.284
6.287 -1.427 -1.353

(10)
! SrLa2Se2 PBE relaxed; values from VASP
! ΔE_f (raw): -27.0 kcal/mol of atoms
&SYSTEM
  ibrav = 0, nat = 5, ntyp = 3
/
ATOMIC_SPECIES
La 138.91 La.upf
Se 78.96 Se.upf
Sr 87.62 Sr.upf
ATOMIC_POSITIONS crystal
La 0.750 0.250 0.500
La 0.250 0.750 0.500
Se 0.390 0.390 0.220
Se 0.610 0.610 0.780
Sr 0.000 0.000 0.000
CELL_PARAMETERS angstrom
4.564 0.000 0.000
0.000 4.564 0.000
2.282 2.282 7.526

(11)
! Mn2AgS PBE relaxed; values from VASP
! ΔE_f (raw): 11.4 kcal/mol of atoms
&SYSTEM
  ibrav = 0, nat = 8, ntyp = 3
/
ATOMIC_SPECIES
Mn 54.94 Mn.upf
S 32.06 S.upf
Ag 107.87 Ag.upf
ATOMIC_POSITIONS crystal
Mn 0.552 0.125 0.250
Mn 0.875 0.802 0.750
Mn 0.375 0.448 0.750
Mn 0.198 0.625 0.250
S 0.500 0.500 0.000
S 0.250 0.750 0.500
Ag 0.750 0.250 0.500
Ag 0.000 0.000 0.000
CELL_PARAMETERS angstrom
6.603 0.000 0.000
0.000 6.603 0.000
3.301 3.301 2.566

(12)
! AcLa4Tm PBE relaxed; values from VASP
! E_form: 1.13 eV per formula unit
&SYSTEM
  ibrav = 0, nat = 12, ntyp = 3
/
ATOMIC_SPECIES
La 138.91 La.upf
Ac 227.00 Ac.upf
Tm 168.93 Tm.upf
ATOMIC_POSITIONS crystal
La 0.842 0.368 0.683
La 0.375 0.350 0.200
La 0.176 0.650 0.800
La 0.158 0.185 0.317
La 0.625 0.650 0.800
La 0.824 0.350 0.200
La 0.842 0.815 0.683
La 0.158 0.632 0.317
Ac 0.500 0.000 0.500
Ac 0.000 0.000 0.500
Tm 0.500 0.000 0.000
Tm 0.500 0.500 0.000
CELL_PARAMETERS angstrom
-6.485 5.914 8.491
-4.369 -5.443 0.454
8.431 -2.333 -0.717

(13)
! Ga6AgSn PBE relaxed; values from VASP
! E_form: 0.35 eV per formula unit
&SYSTEM
  ibrav = 0, nat = 8, ntyp = 3
/
ATOMIC_SPECIES
Ga 69.72 Ga.upf
Ag 107.87 Ag.upf
Sn 118.71 Sn.upf
ATOMIC_POSITIONS crystal
Ga 0.000 0.500 0.266
Ga 0.000 0.500 0.734
Ga 0.500 0.000 0.734
Ga 0.500 0.500 0.000
Ga 0.500 0.000 0.266
Ga 0.500 0.500 0.500
Ag 0.000 0.000 0.500
Sn 0.000 0.000 0.000
CELL_PARAMETERS angstrom
-1.121 2.907 2.657
-1.975 -2.806 2.236
7.911 -1.553 5.038

(14)
! BaCa2YRu PBE relaxed; values from VASP
! E_form: 0.05 eV per formula unit
&SYSTEM
  ibrav = 0, nat = 5, ntyp = 4
/
ATOMIC_SPECIES
Ba 137.33 Ba.upf
Ca 40.08 Ca.upf
Ru 101.07 Ru.upf
Y 88.91 Y.upf
ATOMIC_POSITIONS crystal
Ba 0.500 0.500 0.500
Ca 0.000 0.500 0.000
Ca 0.500 0.000 0.000
Ru 0.000 0.000 0.000
Y 0.000 0.000 0.500
CELL_PARAMETERS angstrom
5.763 0.000 0.000
0.000 5.763 0.000
0.000 0.000 5.382

(15)
! ZrTaBr2 PBE relaxed; values from VASP
! ΔE_f (raw): 11.6 kcal/mol of atoms
&SYSTEM
  ibrav = 0, nat = 4, ntyp = 3
/
ATOMIC_SPECIES
Zr 91.22 Zr.upf
Br 79.90 Br.upf
Ta 180.95 Ta.upf
ATOMIC_POSITIONS crystal
Zr 0.000 0.000 0.000
Br 0.750 0.750 0.750
Br 0.250 0.250 0.250
Ta 0.500 0.500 0.500
CELL_PARAMETERS angstrom
0.000 3.396 3.396
3.396 0.000 3.396
3.396 3.396 0.000

Values for density of states at the Fermi level, states/eV/cell, ordered as above
6.701, 35.549, 6.461, 2.806, 3.044, 2.452, 3.504, 8.338, 21.658, 3.779, 13.694, 21.372, 2.302, 4.431, 3.632
Values for volume, A^3/atom, ordered as above
45.329, 24.960, 29.797, 19.332, 27.447, 33.478, 25.210, 22.093, 31.433, 31.358, 13.982, 37.346, 19.927, 35.748, 19.579
Values for E_tot, eV/atom, ordered as above
-2.6223, -6.7713, -5.8254, -3.5457, -3.7286, -2.5370, -4.2304, -4.5881, -4.3165, -4.8721, -5.8361, -4.5260, -3.0830, -4.3236, -5.4324